VASP calculation (SCAN) on a PBEsol-optimized structure of HoMgZn2.

M_tot (μB/atom): 0.0000
DFT total energy (eV per atom): -20.66
Formation energy (eV/atom): -0.42

Cell: 6.697 6.697 6.697 Å, 90.00 90.00 90.00°
Space group Fm-3m (No. 225)
One atom of each set of equivalent atoms:
Ho  0.000  0.000  0.000
Mg  0.000  0.000  0.500
Zn  0.250  0.250  0.250